The following is a PBE calculation of crystalline PaZnAu at its relaxed geometry, from the Alexandria database.

## Properties
Fermi-level density of states: 3.7 states/eV/f.u.
formation energy: -171 meV/atom
SG: C2/m
magnetic moment: 0.0 μB per formula unit

Unit cell a=3.205 b=6.038 c=7.045 alpha=71.63 beta=103.13 gamma=105.39
Fractional coordinates of all 6 atoms:
1 Zn 0.323 0.690 0.455
2 Pa 0.933 0.136 0.229
3 Au 0.642 0.636 0.148
4 Au 0.358 0.364 0.852
5 Pa 0.067 0.864 0.771
6 Zn 0.677 0.310 0.545